--- i ---
The following is a DFT calculation (PBE) of crystalline B3CSe at its relaxed geometry.

abc: 3.611 3.611 3.611
angles: 90.00 90.00 90.00
Fractional coordinates of all 5 atoms:
C: 0.000 0.000 0.000
B: 0.500 0.000 0.000
B: 0.000 0.500 0.000
B: 0.000 0.000 0.500
Se: 0.500 0.500 0.500

DOS(E_F) = 2.4 states/eV/f.u.
Calculated density = 4.35 g cm⁻³
M_tot = 0.00 μB per formula unit
Volume = 47.1 Å³ per cell
Space group = Pm-3m (221)

---

--- ii ---
The following is a DFT calculation (PBE) of crystalline B3CSe at its relaxed geometry.

abc: 4.008 4.008 4.008
angles: 90.00 90.00 90.00
Fractional coordinates of all 5 atoms:
B: 0.500 0.000 0.000
B: 0.000 0.000 0.500
B: 0.000 0.500 0.000
C: 0.500 0.500 0.500
Se: 0.000 0.000 0.000

DOS(E_F) = 1.8 states/eV/f.u.
Calculated density = 3.18 g cm⁻³
M_tot = 0.00 μB per formula unit
Volume = 64.4 Å³ per cell
Space group = Pm-3m (221)

---

Most favorable first, least favorable last: i, ii

---

--- i ---
The following is a DFT calculation (PBE) of crystalline B2CSe at its relaxed geometry.

abc: 3.810 3.810 3.810
angles: 60.00 60.00 60.00
Fractional coordinates of all 4 atoms:
Se: 0.500 0.500 0.500
B: 0.250 0.250 0.250
B: 0.750 0.750 0.750
C: 0.000 0.000 0.000

DOS(E_F) = 1.7 states/eV/f.u.
Calculated density = 4.78 g cm⁻³
M_tot = 0.00 μB per formula unit
Volume = 39.1 Å³ per cell
Space group = Fm-3m (225)

---

--- ii ---
The following is a DFT calculation (PBE) of crystalline B2CSe at its relaxed geometry.

abc: 4.335 4.335 5.225
angles: 65.49 65.49 90.00
Fractional coordinates of all 8 atoms:
B: 0.212 0.625 0.250
B: 0.538 0.125 0.250
B: 0.375 0.462 0.750
B: 0.875 0.788 0.750
C: 0.250 0.750 0.500
C: 0.500 0.500 0.000
Se: 0.750 0.250 0.500
Se: 0.000 0.000 0.000

DOS(E_F) = 0.0 states/eV/f.u.
Calculated density = 4.70 g cm⁻³
M_tot = 0.00 μB per formula unit
Volume = 79.5 Å³ per cell
Space group = I-42d (122)

---

Most favorable first, least favorable last: ii, i

---

--- i ---
The following is a DFT calculation (PBE) of crystalline SiB2C3 at its relaxed geometry.

abc: 3.032 4.488 5.173
angles: 76.27 80.00 88.95
Fractional coordinates of all 6 atoms:
B: 0.813 0.550 0.052
B: 0.711 0.774 0.509
C: 0.195 0.894 0.574
C: 0.696 0.495 0.342
C: 0.955 0.598 0.765
Si: 0.141 0.313 0.536

DOS(E_F) = 0.0 states/eV/f.u.
Calculated density = 2.11 g cm⁻³
M_tot = 0.00 μB per formula unit
Volume = 67.3 Å³ per cell
Space group = P1 (1)

---

--- ii ---
The following is a DFT calculation (PBE) of crystalline SiB2C3 at its relaxed geometry.

abc: 7.952 2.861 4.909
angles: 90.00 90.01 90.00
Fractional coordinates of all 12 atoms:
C: 0.324 0.000 0.771
C: 0.661 0.500 0.619
C: 0.661 0.000 0.119
C: 0.324 0.500 0.271
C: 0.856 0.500 0.501
C: 0.856 0.000 0.001
B: 0.308 0.000 0.105
B: 0.867 0.500 0.830
B: 0.867 0.000 0.330
B: 0.308 0.500 0.605
Si: 0.567 0.500 0.283
Si: 0.567 0.000 0.783

Calculated density = 2.55 g cm⁻³
M_tot = 0.00 μB per formula unit
Volume = 111.7 Å³ per cell
Space group = Cm (8)

---

Most favorable first, least favorable last: ii, i

---

--- i ---
The following is a DFT calculation (PBE) of crystalline SiB2C3 at its relaxed geometry.

abc: 3.047 4.084 4.666
angles: 105.20 94.40 111.34
Fractional coordinates of all 6 atoms:
C: 0.476 0.060 0.704
C: 0.443 0.707 0.107
C: 0.279 0.266 0.551
B: 0.395 0.684 0.760
B: 0.701 0.088 0.384
Si: 0.792 0.418 0.094

DOS(E_F) = 0.7 states/eV/f.u.
Calculated density = 2.78 g cm⁻³
M_tot = 0.00 μB per formula unit
Volume = 51.2 Å³ per cell
Space group = P1 (1)

---

--- ii ---
The following is a DFT calculation (PBE) of crystalline SiB2C3 at its relaxed geometry.

abc: 2.774 3.242 6.118
angles: 82.90 90.01 63.34
Fractional coordinates of all 6 atoms:
C: 0.095 0.362 0.498
C: 0.364 0.821 0.863
C: 0.941 0.674 0.271
B: 0.232 0.091 0.308
B: 0.413 0.725 0.116
Si: 0.645 0.261 0.723

DOS(E_F) = 0.8 states/eV/f.u.
Calculated density = 2.92 g cm⁻³
M_tot = 0.00 μB per formula unit
Volume = 48.7 Å³ per cell
Space group = P1 (1)

---

Most favorable first, least favorable last: i, ii

---

--- i ---
The following is a DFT calculation (PBE) of crystalline SiB2C3 at its relaxed geometry.

abc: 6.282 2.847 5.523
angles: 90.00 94.14 90.00
Fractional coordinates of all 12 atoms:
B: 0.975 0.500 0.712
B: 0.678 0.500 0.398
B: 0.678 0.000 0.898
B: 0.975 0.000 0.212
C: 0.021 0.500 0.082
C: 0.800 0.500 0.904
C: 0.426 0.500 0.363
C: 0.021 0.000 0.582
C: 0.426 0.000 0.863
C: 0.800 0.000 0.404
Si: 0.323 0.500 0.029
Si: 0.323 0.000 0.529

Calculated density = 2.89 g cm⁻³
M_tot = 0.00 μB per formula unit
Volume = 98.5 Å³ per cell
Space group = Cm (8)

---

--- ii ---
The following is a DFT calculation (PBE) of crystalline SiB2C3 at its relaxed geometry.

abc: 2.824 3.971 5.040
angles: 89.10 74.03 69.36
Fractional coordinates of all 6 atoms:
Si: 0.603 0.005 0.709
C: 0.991 0.981 0.961
C: 0.100 0.636 0.091
C: 0.529 0.378 0.484
B: 0.981 0.544 0.414
B: 0.707 0.389 0.118

DOS(E_F) = 1.4 states/eV/f.u.
Calculated density = 2.81 g cm⁻³
M_tot = 0.00 μB per formula unit
Volume = 50.6 Å³ per cell
Space group = P1 (1)

---

Most favorable first, least favorable last: i, ii

---

--- i ---
The following is a DFT calculation (PBE) of crystalline SiB2C3 at its relaxed geometry.

abc: 4.211 2.825 4.265
angles: 90.00 91.07 90.00
Fractional coordinates of all 6 atoms:
Si: 0.309 0.000 0.027
B: 0.668 0.000 0.373
B: 0.906 0.500 0.845
C: 0.578 0.500 0.537
C: 0.860 0.000 0.060
C: 0.304 0.500 0.758

DOS(E_F) = 1.2 states/eV/f.u.
Calculated density = 2.81 g cm⁻³
M_tot = 0.00 μB per formula unit
Volume = 50.7 Å³ per cell
Space group = Pm (6)

---

--- ii ---
The following is a DFT calculation (PBE) of crystalline SiB2C3 at its relaxed geometry.

abc: 5.004 2.655 8.856
angles: 90.00 104.35 90.00
Fractional coordinates of all 12 atoms:
B: 0.461 0.500 0.038
B: 0.818 0.000 0.170
B: 0.461 0.000 0.538
B: 0.818 0.500 0.670
Si: 0.640 0.500 0.408
Si: 0.640 0.000 0.908
C: 0.147 0.000 0.537
C: 0.015 0.500 0.551
C: 0.696 0.000 0.708
C: 0.015 0.000 0.051
C: 0.696 0.500 0.208
C: 0.147 0.500 0.037

DOS(E_F) = 0.9 states/eV/f.u.
Calculated density = 2.50 g cm⁻³
M_tot = 0.00 μB per formula unit
Volume = 114.0 Å³ per cell
Space group = Cm (8)

---

--- iii ---
The following is a DFT calculation (PBE) of crystalline SiB2C3 at its relaxed geometry.

abc: 6.318 3.987 4.003
angles: 90.00 108.70 90.00
Fractional coordinates of all 12 atoms:
C: 0.000 0.917 0.000
C: 0.704 0.914 0.352
C: 0.704 0.414 0.852
C: 0.296 0.414 0.148
C: 0.296 0.914 0.648
C: 0.000 0.417 0.500
B: 0.844 0.162 0.172
B: 0.844 0.662 0.672
B: 0.156 0.662 0.328
B: 0.156 0.162 0.828
Si: 0.500 0.664 0.000
Si: 0.500 0.164 0.500

DOS(E_F) = 1.5 states/eV/f.u.
Calculated density = 2.98 g cm⁻³
M_tot = 0.00 μB per formula unit
Volume = 95.5 Å³ per cell
Space group = C2 (5)

---

--- iv ---
The following is a DFT calculation (PBE) of crystalline SiB2C3 at its relaxed geometry.

abc: 6.450 2.828 5.613
angles: 90.00 94.01 90.00
Fractional coordinates of all 12 atoms:
Si: 0.648 0.500 0.092
Si: 0.648 0.000 0.592
B: 0.966 0.000 0.632
B: 0.240 0.000 0.930
B: 0.240 0.500 0.430
B: 0.966 0.500 0.132
C: 0.538 0.000 0.256
C: 0.304 0.000 0.321
C: 0.083 0.500 0.634
C: 0.304 0.500 0.821
C: 0.538 0.500 0.756
C: 0.083 0.000 0.134

Calculated density = 2.79 g cm⁻³
M_tot = 0.00 μB per formula unit
Volume = 102.1 Å³ per cell
Space group = Cm (8)

---

Most favorable first, least favorable last: iii, ii, iv, i

---

--- i ---
The following is a DFT calculation (PBE) of crystalline SiB2C2 at its relaxed geometry.

abc: 3.605 2.738 4.615
angles: 90.00 103.12 90.00
Fractional coordinates of all 5 atoms:
B: 0.495 0.000 0.894
B: 0.564 0.000 0.536
C: 0.409 0.500 0.354
C: 0.426 0.500 0.033
Si: 0.047 0.500 0.604

DOS(E_F) = 0.4 states/eV/f.u.
Calculated density = 2.76 g cm⁻³
M_tot = 0.00 μB per formula unit
Volume = 44.4 Å³ per cell
Space group = Pm (6)

---

--- ii ---
The following is a DFT calculation (PBE) of crystalline SiB2C2 at its relaxed geometry.

abc: 6.460 2.719 6.605
angles: 90.00 118.18 90.00
Fractional coordinates of all 10 atoms:
C: 0.310 0.500 0.895
C: 0.543 0.500 0.088
C: 0.543 0.000 0.588
C: 0.310 0.000 0.395
Si: 0.004 0.500 0.932
Si: 0.004 0.000 0.432
B: 0.185 0.000 0.785
B: 0.185 0.500 0.285
B: 0.660 0.500 0.679
B: 0.660 0.000 0.179

DOS(E_F) = 0.9 states/eV/f.u.
Calculated density = 2.39 g cm⁻³
M_tot = 0.00 μB per formula unit
Volume = 102.3 Å³ per cell
Space group = Cm (8)

---

Most favorable first, least favorable last: ii, i

---

--- i ---
The following is a DFT calculation (PBE) of crystalline SiB2C2 at its relaxed geometry.

abc: 3.419 2.736 11.797
angles: 90.00 106.83 90.00
Fractional coordinates of all 10 atoms:
C: 0.600 0.000 0.075
C: 0.472 0.500 0.448
C: 0.600 0.500 0.575
C: 0.472 0.000 0.948
B: 0.663 0.500 0.137
B: 0.405 0.500 0.881
B: 0.663 0.000 0.637
B: 0.405 0.000 0.381
Si: 0.802 0.000 0.278
Si: 0.802 0.500 0.778

DOS(E_F) = 1.1 states/eV/f.u.
Calculated density = 2.32 g cm⁻³
M_tot = 0.00 μB per formula unit
Volume = 105.6 Å³ per cell
Space group = Imm2 (44)

---

--- ii ---
The following is a DFT calculation (PBE) of crystalline SiB2C2 at its relaxed geometry.

abc: 2.741 3.309 4.862
angles: 76.51 81.57 76.36
Fractional coordinates of all 5 atoms:
Si: 0.251 0.158 0.692
B: 0.185 0.584 0.948
B: 0.423 0.049 0.254
C: 0.823 0.225 0.386
C: 0.638 0.621 0.141

DOS(E_F) = 0.1 states/eV/f.u.
Calculated density = 2.95 g cm⁻³
M_tot = 0.00 μB per formula unit
Volume = 41.5 Å³ per cell
Space group = P1 (1)

---

Most favorable first, least favorable last: i, ii

---

--- i ---
The following is a DFT calculation (PBE) of crystalline SiB2C2 at its relaxed geometry.

abc: 4.812 2.722 7.521
angles: 90.00 94.28 90.00
Fractional coordinates of all 10 atoms:
C: 0.341 0.000 0.233
C: 0.087 0.500 0.847
C: 0.341 0.500 0.733
C: 0.087 0.000 0.347
B: 0.402 0.500 0.141
B: 0.956 0.500 0.384
B: 0.956 0.000 0.884
B: 0.402 0.000 0.641
Si: 0.634 0.000 0.425
Si: 0.634 0.500 0.925

DOS(E_F) = 0.0 states/eV/f.u.
Calculated density = 2.49 g cm⁻³
M_tot = 0.00 μB per formula unit
Volume = 98.2 Å³ per cell
Space group = Cm (8)

---

--- ii ---
The following is a DFT calculation (PBE) of crystalline SiB2C2 at its relaxed geometry.

abc: 8.672 2.711 4.691
angles: 90.00 104.23 90.00
Fractional coordinates of all 10 atoms:
Si: 0.460 0.500 0.787
Si: 0.460 0.000 0.287
C: 0.220 0.500 0.678
C: 0.701 0.500 0.896
C: 0.701 0.000 0.396
C: 0.220 0.000 0.178
B: 0.714 0.500 0.235
B: 0.207 0.500 0.005
B: 0.207 0.000 0.505
B: 0.714 0.000 0.735

DOS(E_F) = 0.6 states/eV/f.u.
Calculated density = 2.29 g cm⁻³
M_tot = 0.00 μB per formula unit
Volume = 106.9 Å³ per cell
Space group = Cm (8)

---

Most favorable first, least favorable last: ii, i

---

--- i ---
The following is a DFT calculation (PBE) of crystalline SiBC at its relaxed geometry.

abc: 3.351 2.736 3.739
angles: 90.00 115.78 90.00
Fractional coordinates of all 3 atoms:
Si: 0.072 0.000 0.732
B: 0.398 0.000 0.372
C: 0.268 0.500 0.121

DOS(E_F) = 0.6 states/eV/f.u.
Calculated density = 2.74 g cm⁻³
M_tot = 0.00 μB per formula unit
Volume = 30.9 Å³ per cell
Space group = Pm (6)

---

--- ii ---
The following is a DFT calculation (PBE) of crystalline SiBC at its relaxed geometry.

abc: 2.726 2.726 4.414
angles: 90.00 90.00 120.00
Fractional coordinates of all 3 atoms:
C: 0.000 0.000 0.000
Si: 0.000 0.000 0.500
B: 0.333 0.667 0.000

DOS(E_F) = 0.9 states/eV/f.u.
Calculated density = 2.98 g cm⁻³
M_tot = 0.00 μB per formula unit
Volume = 28.4 Å³ per cell
Space group = P-6m2 (187)

---

Most favorable first, least favorable last: ii, i

---

--- i ---
The following is a DFT calculation (PBE) of crystalline Sn2BC at its relaxed geometry.

abc: 4.463 4.463 4.463
angles: 60.00 60.00 60.00
Fractional coordinates of all 4 atoms:
Sn: 0.750 0.750 0.750
Sn: 0.250 0.250 0.250
B: 0.000 0.000 0.000
C: 0.500 0.500 0.500

DOS(E_F) = 1.8 states/eV/f.u.
Calculated density = 6.87 g cm⁻³
M_tot = 0.00 μB per formula unit
Volume = 62.9 Å³ per cell
Space group = Fm-3m (225)

---

--- ii ---
The following is a DFT calculation (PBE) of crystalline Sn2BC at its relaxed geometry.

abc: 5.233 5.233 6.352
angles: 65.68 65.68 90.00
Fractional coordinates of all 8 atoms:
C: 0.000 0.000 0.000
C: 0.750 0.250 0.500
Sn: 0.634 0.125 0.250
Sn: 0.875 0.884 0.750
Sn: 0.116 0.625 0.250
Sn: 0.375 0.366 0.750
B: 0.500 0.500 0.000
B: 0.250 0.750 0.500

DOS(E_F) = 1.8 states/eV/f.u.
Calculated density = 6.11 g cm⁻³
M_tot = 0.00 μB per formula unit
Volume = 141.4 Å³ per cell
Space group = I-42d (122)

---

Most favorable first, least favorable last: ii, i